No. 1
The following is a PBE-GGA calculation of GdTh2Tc after structural relaxation, from Alexandria via LeMat-Bulk.

Output
- SG: P4/mmm, No. 123
- Total moment: 7.973 Bohr magnetons per cell
- Polymorph energy (0 for the lowest one): 0.00 eV/f.u.
- ΔH_f (0 K): 0.011 eV per atom
- Electronic total energy: -9.810 eV per atom
- Calculated density: 10.86 g cm⁻³

Geometry as POSCAR:
```
GdTh2Tc
1.0
-0.876 -1.233 3.206
-3.202 -0.906 -1.223
3.073 -7.897 -2.196
Gd Tc Th
1 1 2
Direct
0.500 0.500 0.500
0.500 0.500 0.000
0.000 0.000 0.798
0.000 0.000 0.202
```

***

No. 2
The following is a PBE-GGA calculation of MnRuS2N after structural relaxation, from Alexandria via LeMat-Bulk.

Output
- SG: P4/mmm, No. 123
- Total moment: 0.424 Bohr magnetons per cell
- Polymorph energy (0 for the lowest one): 0.98 eV/f.u.
- Uncorrected formation energy: 0.617 eV per atom
- Electronic total energy: -6.388 eV per atom
- Calculated density: 5.48 g cm⁻³

Geometry as POSCAR:
```
MnRuS2N
1.0
-2.450 1.555 3.538
-2.919 -3.490 -0.488
1.876 -1.866 2.120
Ru S Mn N
1 2 1 1
Direct
0.500 0.500 0.500
0.000 0.500 0.000
0.500 0.000 0.000
0.000 0.000 0.000
0.000 0.000 0.500
```

***

No. 3
The following is a PBE-GGA calculation of KRb2PtS after structural relaxation, from Alexandria via LeMat-Bulk.

Output
- SG: P4/mmm, No. 123
- Total moment: 0.996 Bohr magnetons per cell
- Uncorrected formation energy: 0.010 eV per atom
- Electronic total energy: -2.630 eV per atom
- Calculated density: 3.15 g cm⁻³

Geometry as POSCAR:
```
KRb2PtS
1.0
6.178 0.000 0.000
0.000 6.034 0.000
0.000 0.000 6.178
S K Rb Pt
1 1 2 1
Direct
0.500 0.500 0.500
0.000 0.500 0.000
0.000 0.000 0.500
0.500 0.000 0.000
0.000 0.000 0.000
```

***

What is the electronic total energy in the second record? -6.388 eV per atom

***

Among the records above, which one has the highest total moment? GdTh2Tc

***

Repeat the first record exactly.
The following is a PBE-GGA calculation of GdTh2Tc after structural relaxation, from Alexandria via LeMat-Bulk.

Output
- SG: P4/mmm, No. 123
- Total moment: 7.973 Bohr magnetons per cell
- Polymorph energy (0 for the lowest one): 0.00 eV/f.u.
- ΔH_f (0 K): 0.011 eV per atom
- Electronic total energy: -9.810 eV per atom
- Calculated density: 10.86 g cm⁻³

Geometry as POSCAR:
```
GdTh2Tc
1.0
-0.876 -1.233 3.206
-3.202 -0.906 -1.223
3.073 -7.897 -2.196
Gd Tc Th
1 1 2
Direct
0.500 0.500 0.500
0.500 0.500 0.000
0.000 0.000 0.798
0.000 0.000 0.202
```

***

What is the total moment in the third record? 0.996 Bohr magnetons per cell